# 1
{"formula": "MnSiNi2", "functional": "meta-GGA SCAN", "state": "PBEsol geometry", "lattice": [[3.5680, 0.0000, 0.0000], [0.0000, 3.5680, 0.0000], [0.0000, 0.0000, 6.8042]], "species": ["Mn", "Mn", "Si", "Si", "Ni", "Ni", "Ni", "Ni"], "frac_coords": [[0.0000, 0.0000, 0.0000], [0.5000, 0.5000, 0.5000], [0.0000, 0.5000, 0.7500], [0.5000, 0.0000, 0.2500], [0.0000, 0.0000, 0.5000], [0.0000, 0.5000, 0.2500], [0.5000, 0.0000, 0.7500], [0.5000, 0.5000, 0.0000]], "spacegroup": "I-4m2", "total_magnetization_mub_per_fu": 3.6, "energy_ev_per_cell": -124.77}

# 2
{"formula": "Mn3SiNi", "functional": "meta-GGA SCAN", "state": "PBEsol geometry", "lattice": [[5.9767, 0.0000, 0.0000], [0.0000, 5.9767, 0.0000], [0.0000, 0.0000, 5.9767]], "species": ["Mn", "Mn", "Mn", "Mn", "Mn", "Mn", "Mn", "Mn", "Mn", "Mn", "Mn", "Mn", "Si", "Si", "Si", "Si", "Ni", "Ni", "Ni", "Ni"], "frac_coords": [[0.0445, 0.1228, 0.7970], [0.1228, 0.7970, 0.0445], [0.2030, 0.5445, 0.3772], [0.2970, 0.4555, 0.8772], [0.3772, 0.2030, 0.5445], [0.4555, 0.8772, 0.2970], [0.5445, 0.3772, 0.2030], [0.6228, 0.7030, 0.9555], [0.7030, 0.9555, 0.6228], [0.7970, 0.0445, 0.1228], [0.8772, 0.2970, 0.4555], [0.9555, 0.6228, 0.7030], [0.0628, 0.9372, 0.4372], [0.4372, 0.0628, 0.9372], [0.5628, 0.5628, 0.5628], [0.9372, 0.4372, 0.0628], [0.1867, 0.1867, 0.1867], [0.3133, 0.8133, 0.6867], [0.6867, 0.3133, 0.8133], [0.8133, 0.6867, 0.3133]], "spacegroup": "P2_13", "total_magnetization_mub_per_fu": 7.1, "energy_ev_per_cell": -329.30}

# 3
{"formula": "MnSiNi2", "functional": "meta-GGA SCAN", "state": "PBEsol geometry", "lattice": [[2.7334, 0.0000, 0.0000], [0.0000, 2.7334, 0.0000], [0.0000, 0.0000, 6.0353]], "species": ["Mn", "Si", "Ni", "Ni"], "frac_coords": [[0.0000, 0.0000, 0.0000], [0.0000, 0.0000, 0.5000], [0.5000, 0.5000, 0.2797], [0.5000, 0.5000, 0.7203]], "spacegroup": "P4/mmm", "total_magnetization_mub_per_fu": 4.3, "energy_ev_per_cell": -62.39}

# 4
{"formula": "MnSiNi3", "functional": "meta-GGA SCAN", "state": "PBEsol geometry", "lattice": [[4.1255, 0.0000, 0.0000], [0.0000, 4.1255, 0.0000], [0.0000, 0.0000, 4.1255]], "species": ["Mn", "Si", "Ni", "Ni", "Ni"], "frac_coords": [[0.0000, 0.0000, 0.0000], [0.5000, 0.5000, 0.5000], [0.0000, 0.5000, 0.5000], [0.5000, 0.0000, 0.5000], [0.5000, 0.5000, 0.0000]], "spacegroup": "Pm-3m", "total_magnetization_mub_per_fu": 5.0, "energy_ev_per_cell": -75.62}

# 5
{"formula": "MnZnSiNi2", "functional": "meta-GGA SCAN", "state": "PBEsol geometry", "lattice": [[4.2277, 0.0000, 0.0000], [0.0000, 4.2277, 0.0000], [0.0000, 0.0000, 4.4050]], "species": ["Mn", "Zn", "Si", "Ni", "Ni"], "frac_coords": [[0.0000, 0.0000, 0.0000], [0.0000, 0.0000, 0.5000], [0.5000, 0.5000, 0.0000], [0.0000, 0.5000, 0.5000], [0.5000, 0.0000, 0.5000]], "spacegroup": "P4/mmm", "total_magnetization_mub_per_fu": 4.6, "energy_ev_per_cell": -69.55}

# 6
{"formula": "ZrMnSi2Ni", "functional": "meta-GGA SCAN", "state": "PBEsol geometry", "lattice": [[4.9317, 0.0000, 0.0000], [0.0000, 4.9317, 0.0000], [0.0000, 0.0000, 4.4796]], "species": ["Zr", "Mn", "Si", "Si", "Ni"], "frac_coords": [[0.0000, 0.0000, 0.0000], [0.5000, 0.5000, 0.5000], [0.0000, 0.5000, 0.0000], [0.5000, 0.0000, 0.0000], [0.0000, 0.0000, 0.5000]], "spacegroup": "P4/mmm", "total_magnetization_mub_per_fu": 4.5, "energy_ev_per_cell": -79.58}

# 7
{"formula": "Mn3Ni3Sn2", "functional": "meta-GGA SCAN", "state": "PBEsol geometry", "lattice": [[2.1196, 1.2238, 6.8994], [-2.1196, 1.2238, 6.8994], [0.0000, -2.4475, 6.8994]], "species": ["Mn", "Mn", "Mn", "Ni", "Ni", "Ni", "Sn", "Sn"], "frac_coords": [[0.0000, 0.0000, 0.0000], [0.1276, 0.1276, 0.1276], [0.5014, 0.5014, 0.5014], [0.3797, 0.3797, 0.3797], [0.6224, 0.6224, 0.6224], [0.8726, 0.8726, 0.8726], [0.2543, 0.2543, 0.2543], [0.7465, 0.7465, 0.7465]], "spacegroup": "R3m", "total_magnetization_mub_per_fu": 4.7, "e_form_mev_per_atom": -251, "energy_ev_per_cell": -177.13}

# 8
{"formula": "MnNiSn3", "functional": "meta-GGA SCAN", "state": "PBEsol geometry", "lattice": [[4.8827, 0.0000, 0.0000], [0.0000, 4.8827, 0.0000], [0.0000, 0.0000, 4.8827]], "species": ["Mn", "Ni", "Sn", "Sn", "Sn"], "frac_coords": [[0.0000, 0.0000, 0.0000], [0.5000, 0.5000, 0.5000], [0.0000, 0.5000, 0.5000], [0.5000, 0.0000, 0.5000], [0.5000, 0.5000, 0.0000]], "spacegroup": "Pm-3m", "total_magnetization_mub_per_fu": 4.9, "e_form_mev_per_atom": 333, "energy_ev_per_cell": -140.53}

# 9
{"formula": "Mn3Ni4Sn", "functional": "meta-GGA SCAN", "state": "PBEsol geometry", "lattice": [[2.0559, 1.1869, 6.8383], [-2.0559, 1.1869, 6.8383], [0.0000, -2.3739, 6.8383]], "species": ["Mn", "Mn", "Mn", "Ni", "Ni", "Ni", "Ni", "Sn"], "frac_coords": [[0.0000, 0.0000, 0.0000], [0.2520, 0.2520, 0.2520], [0.7480, 0.7480, 0.7480], [0.1181, 0.1181, 0.1181], [0.3710, 0.3710, 0.3710], [0.6290, 0.6290, 0.6290], [0.8819, 0.8819, 0.8819], [0.5000, 0.5000, 0.5000]], "spacegroup": "R-3m", "total_magnetization_mub_per_fu": 13.7, "e_form_mev_per_atom": -303, "energy_ev_per_cell": -157.80}

# 10
{"formula": "TiMnNi4Sn2", "functional": "meta-GGA SCAN", "state": "PBEsol geometry", "lattice": [[2.1248, 1.2268, 6.9048], [-2.1248, 1.2268, 6.9048], [0.0000, -2.4535, 6.9048]], "species": ["Ti", "Mn", "Ni", "Ni", "Ni", "Ni", "Sn", "Sn"], "frac_coords": [[0.0000, 0.0000, 0.0000], [0.5000, 0.5000, 0.5000], [0.1232, 0.1232, 0.1232], [0.3736, 0.3736, 0.3736], [0.6264, 0.6264, 0.6264], [0.8768, 0.8768, 0.8768], [0.2483, 0.2483, 0.2483], [0.7517, 0.7517, 0.7517]], "spacegroup": "R-3m", "total_magnetization_mub_per_fu": 4.0, "e_form_mev_per_atom": -352, "energy_ev_per_cell": -173.64}

# 11
{"formula": "SrMn2Ni", "functional": "meta-GGA SCAN", "state": "PBEsol geometry", "lattice": [[3.9792, 0.0000, 0.0000], [0.0000, 3.9792, 0.0000], [0.0000, 0.0000, 8.9356]], "species": ["Sr", "Sr", "Mn", "Mn", "Mn", "Mn", "Ni", "Ni"], "frac_coords": [[0.0000, 0.0000, 0.0000], [0.5000, 0.5000, 0.5000], [0.0000, 0.5000, 0.2500], [0.0000, 0.5000, 0.7500], [0.5000, 0.0000, 0.2500], [0.5000, 0.0000, 0.7500], [0.0000, 0.0000, 0.5000], [0.5000, 0.5000, 0.0000]], "spacegroup": "I4/mmm", "total_magnetization_mub_per_fu": 8.4, "e_form_mev_per_atom": 507, "energy_ev_per_cell": -145.86}

# 12
{"formula": "SrMn2Ni", "functional": "meta-GGA SCAN", "state": "PBEsol geometry", "lattice": [[3.0814, 0.0000, 0.0000], [0.0000, 3.0814, 0.0000], [0.0000, 0.0000, 7.5850]], "species": ["Sr", "Mn", "Mn", "Ni"], "frac_coords": [[0.0000, 0.0000, 0.0000], [0.5000, 0.5000, 0.3292], [0.5000, 0.5000, 0.6708], [0.0000, 0.0000, 0.5000]], "spacegroup": "P4/mmm", "total_magnetization_mub_per_fu": 8.9, "e_form_mev_per_atom": 177, "energy_ev_per_cell": -74.25}

# 13
{"formula": "Sr3MnNi", "functional": "meta-GGA SCAN", "state": "PBEsol geometry", "lattice": [[5.5702, 0.0000, 0.0000], [0.0000, 5.5702, 0.0000], [0.0000, 0.0000, 5.5702]], "species": ["Sr", "Sr", "Sr", "Mn", "Ni"], "frac_coords": [[0.0000, 0.0000, 0.5000], [0.0000, 0.5000, 0.0000], [0.5000, 0.0000, 0.0000], [0.0000, 0.0000, 0.0000], [0.5000, 0.5000, 0.5000]], "spacegroup": "Pm-3m", "total_magnetization_mub_per_fu": 3.2, "e_form_mev_per_atom": 941, "energy_ev_per_cell": -96.55}

# 14
{"formula": "SrMnNi3", "functional": "meta-GGA SCAN", "state": "PBEsol geometry", "lattice": [[4.4374, 0.0000, 0.0000], [0.0000, 4.4374, 0.0000], [0.0000, 0.0000, 4.4374]], "species": ["Sr", "Mn", "Ni", "Ni", "Ni"], "frac_coords": [[0.0000, 0.0000, 0.0000], [0.5000, 0.5000, 0.5000], [0.0000, 0.5000, 0.5000], [0.5000, 0.0000, 0.5000], [0.5000, 0.5000, 0.0000]], "spacegroup": "Pm-3m", "total_magnetization_mub_per_fu": 5.2, "e_form_mev_per_atom": 457, "energy_ev_per_cell": -86.76}